Material: Sn2SbPt9
Method: DFT, PBE
State: optimized geometry

Computed properties:
Space group: P4/mmm (123)

Cell lengths 4.074, 4.074, 12.170 Å; angles 90.00, 90.00, 90.00 degrees
Element x y z (fractional)
1 Pt 0.500 0.000 0.832
2 Pt 0.000 0.500 0.168
3 Pt 0.500 0.500 0.333
4 Pt 0.500 0.000 0.500
5 Pt 0.500 0.000 0.168
6 Pt 0.500 0.500 0.667
7 Pt 0.000 0.500 0.832
8 Pt 0.000 0.500 0.500
9 Pt 0.500 0.500 0.000
10 Sn 0.000 0.000 0.665
11 Sn 0.000 0.000 0.335
12 Sb 0.000 0.000 0.000

Material: SnSbPt
Method: DFT, PBE
State: optimized geometry

Computed properties:
Space group: P3m1 (156)

Cell lengths 5.511, 3.884, 3.884 Å; angles 120.00, 90.00, 90.00 degrees
Element x y z (fractional)
1 Sb 0.277 0.667 0.333
2 Pt 0.004 0.000 0.000
3 Sn 0.719 0.333 0.667

Material: Sn4SbPt2
Method: DFT, PBE
State: optimized geometry

Computed properties:
Space group: Fdd2 (43)

Cell lengths 6.618, 6.618, 9.023 Å; angles 67.11, 67.11, 86.53 degrees
Element x y z (fractional)
1 Sb 0.989 0.989 0.000
2 Sb 0.239 0.739 0.500
3 Pt 0.086 0.564 0.080
4 Pt 0.643 0.166 0.920
5 Pt 0.814 0.836 0.580
6 Pt 0.416 0.393 0.420
7 Sn 0.983 0.194 0.605
8 Sn 0.839 0.549 0.895
9 Sn 0.463 0.077 0.710
10 Sn 0.799 0.589 0.395
11 Sn 0.422 0.537 0.790
12 Sn 0.444 0.733 0.105
13 Sn 0.787 0.172 0.290
14 Sn 0.327 0.213 0.210

Material: SnSbPt
Method: DFT, PBE
State: optimized geometry

Computed properties:
Space group: Pc (7)

Cell lengths 8.259, 4.594, 4.567 Å; angles 94.39, 90.02, 89.98 degrees
Element x y z (fractional)
1 Pt 0.658 0.422 0.904
2 Pt 0.134 0.921 0.405
3 Sb 0.396 0.171 0.654
4 Sb 0.396 0.671 0.154
5 Sn 0.896 0.671 0.654
6 Sn 0.896 0.171 0.154

Material: Sn2Sb4Pt3
Method: DFT, PBE
State: optimized geometry

Computed properties:
Space group: Pm (6)

Cell lengths 4.021, 8.508, 12.808 Å; angles 83.30, 90.00, 90.00 degrees
Element x y z (fractional)
1 Sb 0.000 0.020 0.384
2 Sb 0.000 0.645 0.281
3 Sb 0.000 0.315 0.950
4 Sb 0.500 0.994 0.858
5 Sb 0.500 0.658 0.524
6 Sb 0.000 0.355 0.721
7 Sb 0.000 0.983 0.613
8 Sb 0.000 0.688 0.052
9 Pt 0.000 0.000 0.998
10 Pt 0.000 0.333 0.334
11 Pt 0.000 0.669 0.664
12 Pt 0.500 0.831 0.334
13 Pt 0.500 0.503 0.999
14 Pt 0.500 0.168 0.669
15 Sn 0.500 0.335 0.477
16 Sn 0.500 0.004 0.143
17 Sn 0.500 0.329 0.191
18 Sn 0.500 0.672 0.807

Material: SnSbPt2
Method: DFT, PBE
State: optimized geometry

Computed properties:
Space group: C2/m (12)

Cell lengths 3.903, 3.903, 6.737 Å; angles 71.67, 71.66, 62.75 degrees
Element x y z (fractional)
1 Sb 0.000 0.000 0.000
2 Sn 0.500 0.500 0.500
3 Pt 0.749 0.749 0.752
4 Pt 0.251 0.251 0.248

Material: Sn4Sb2Pt
Method: DFT, PBE
State: optimized geometry

Computed properties:
Space group: P-1 (2)

Cell lengths 4.223, 7.108, 8.008 Å; angles 108.52, 85.84, 115.76 degrees
Element x y z (fractional)
1 Sn 0.874 0.746 0.665
2 Sn 0.126 0.254 0.335
3 Sn 0.700 0.255 0.954
4 Sn 0.300 0.745 0.046
5 Sb 0.401 0.737 0.413
6 Sb 0.599 0.263 0.587
7 Pt 0.000 0.000 0.000

Material: SrSnSb2Pt
Method: DFT, PBE
State: optimized geometry

Computed properties:
Space group: P4/mmm (123)

Cell lengths 5.504, 6.127, 5.504 Å; angles 90.00, 90.00, 90.00 degrees
Element x y z (fractional)
1 Sb 0.000 0.000 0.500
2 Sb 0.500 0.000 0.000
3 Pt 0.500 0.500 0.500
4 Sr 0.000 0.500 0.000
5 Sn 0.000 0.000 0.000

Material: Sr2SnSb3Pt4
Method: DFT, PBE
State: optimized geometry

Computed properties:
Space group: P-4m2 (115)

Cell lengths 4.703, 4.703, 10.739 Å; angles 90.00, 90.00, 90.00 degrees
Element x y z (fractional)
1 Pt 0.500 0.000 0.628
2 Pt 0.500 0.500 0.000
3 Pt 0.000 0.500 0.372
4 Pt 0.000 0.000 0.000
5 Sb 0.000 0.500 0.126
6 Sb 0.000 0.000 0.500
7 Sb 0.500 0.000 0.874
8 Sn 0.500 0.500 0.500
9 Sr 0.500 0.000 0.240
10 Sr 0.000 0.500 0.760

Material: Sr2SnSbPt6
Method: DFT, PBE
State: optimized geometry

Computed properties:
Space group: C2/m (12)

Cell lengths 7.010, 7.073, 8.983 Å; angles 50.06, 50.66, 82.33 degrees
Element x y z (fractional)
1 Sn 0.000 0.000 0.000
2 Sb 0.500 0.500 0.000
3 Pt 0.264 0.232 0.500
4 Pt 0.751 0.249 0.148
5 Pt 0.736 0.768 0.500
6 Pt 0.232 0.264 0.004
7 Pt 0.768 0.736 0.996
8 Pt 0.249 0.751 0.852
9 Sr 0.252 0.748 0.457
10 Sr 0.748 0.252 0.543

Material: Sr2Sn3SbPt4
Method: DFT, PBE
State: optimized geometry

Computed properties:
Space group: P-4m2 (115)

Cell lengths 4.729, 4.729, 10.662 Å; angles 90.00, 90.00, 90.00 degrees
Element x y z (fractional)
1 Sn 0.000 0.000 0.500
2 Sn 0.500 0.000 0.878
3 Sn 0.000 0.500 0.122
4 Sr 0.500 0.000 0.243
5 Sr 0.000 0.500 0.757
6 Pt 0.500 0.000 0.627
7 Pt 0.000 0.000 0.000
8 Pt 0.000 0.500 0.373
9 Pt 0.500 0.500 0.000
10 Sb 0.500 0.500 0.500

Material: YSnSb2Pt
Method: DFT, PBE
State: optimized geometry

Computed properties:
Space group: P4/mmm (123)

Cell lengths 5.738, 5.177, 5.738 Å; angles 90.00, 90.00, 90.00 degrees
Element x y z (fractional)
1 Pt 0.000 0.500 0.000
2 Y 0.000 0.000 0.000
3 Sb 0.500 0.000 0.000
4 Sb 0.000 0.000 0.500
5 Sn 0.500 0.500 0.500

Going through the records in order, we get volume values of 16.83; 24.00; 23.82; 28.80; 24.18; 21.20; 29.24; 37.12; 23.76; 23.43; 23.85; 34.09 Å³ per atom.
Going through the records in order, we get M_tot values of 0.0; 0.0; 0.0; 0.0; 0.0; 0.0; 0.0; 0.0; 0.0; 0.0; 0.0; 0.0 μB/cell.
Going through the records in order, we get formation energy without anion corrections values of -0.310; -0.335; -0.293; 0.173; -0.475; -0.327; -0.107; 0.741; -0.790; -0.630; -0.787; 0.470 eV/atom.